Record 1
## MoOs2Ru (PBE)

Data for a geometry-optimized MoOs2Ru structure.

Values from the calculation:
The total energy comes out at -40.8 eV per cell. The value obtained for the volume is 59.8 Å³ per cell. For the energy above the most stable polymorph in this dataset, the calculation gives 449.0 meV/atom. The total magnetization is 0.96 μB per cell.

Cell: 3.2592 3.2592 5.6322 Å, 90.00 90.00 90.00°
Fractional coordinates of all 4 atoms:
Mo (0.0000, 0.0000, 0.0000)
Os (0.5000, 0.5000, 0.2594)
Os (0.5000, 0.5000, 0.7406)
Ru (0.0000, 0.0000, 0.5000)



Record 2
## MoOsRu2 (PBE)

Data for a geometry-optimized MoOsRu2 structure.

Values from the calculation:
The total energy comes out at -40.5 eV per cell. The value obtained for the volume is 57.9 Å³ per cell. For the energy above the most stable polymorph in this dataset, the calculation gives 60.3 meV/atom. The total magnetization is 0.00 μB per cell.

Cell: 3.8620 3.8620 4.7418 Å, 113.90 113.90 90.04°
Fractional coordinates of all 4 atoms:
Mo (0.0000, 0.0000, 0.0000)
Os (0.7501, 0.2499, 0.5000)
Ru (0.2501, 0.7499, 0.5000)
Ru (0.5002, 0.4998, 0.0000)



Record 3
## MoOs2Ru (PBE)

Data for a geometry-optimized MoOs2Ru structure.

Values from the calculation:
The total energy comes out at -40.7 eV per cell. The value obtained for the volume is 59.8 Å³ per cell. For the energy above the most stable polymorph in this dataset, the calculation gives 476.8 meV/atom. The total magnetization is 0.78 μB per cell.

Cell: 2.7954 4.6129 4.6342 Å, 90.00 90.00 90.00°
Fractional coordinates of all 4 atoms:
Mo (0.0000, 0.0000, 0.0000)
Os (0.0000, 0.5000, 0.5000)
Os (0.5000, 0.0000, 0.5000)
Ru (0.5000, 0.5000, 0.0000)



Record 4
## MoOs2Ru (PBE)

Data for a geometry-optimized MoOs2Ru structure.

Values from the calculation:
The total energy comes out at -42.3 eV per cell. The value obtained for the volume is 58.4 Å³ per cell. For the energy above the most stable polymorph in this dataset, the calculation gives 86.5 meV/atom. The total magnetization is 0.00 μB per cell.

Cell: 4.7538 4.7538 2.7430 Å, 90.00 90.00 109.53°
Fractional coordinates of all 4 atoms:
Mo (0.0000, 0.0000, 0.0000)
Os (0.0000, 0.5000, 0.5000)
Os (0.5000, 0.0000, 0.5000)
Ru (0.5000, 0.5000, 0.0000)



Record 5
## MoOs2Ru (PBE)

Data for a geometry-optimized MoOs2Ru structure.

Values from the calculation:
The total energy comes out at -42.2 eV per cell. The value obtained for the volume is 58.5 Å³ per cell. For the energy above the most stable polymorph in this dataset, the calculation gives 108.4 meV/atom. The total magnetization is 0.00 μB per cell.

Cell: 2.7389 2.7389 7.8033 Å, 90.00 90.00 90.00°
Fractional coordinates of all 4 atoms:
Mo (0.0000, 0.0000, 0.0000)
Os (0.0000, 0.0000, 0.5023)
Os (0.5000, 0.5000, 0.2637)
Ru (0.5000, 0.5000, 0.7489)



Record 6
## MoOs4Ru (PBE)

Data for a geometry-optimized MoOs4Ru structure.

Values from the calculation:
The total energy comes out at -63.8 eV per cell. The value obtained for the volume is 89.1 Å³ per cell. For the energy above the most stable polymorph in this dataset, the calculation gives 218.6 meV/atom. The total magnetization is 0.00 μB per cell.

Cell: 2.7248 4.3462 7.5261 Å, 90.00 90.00 90.00°
Fractional coordinates of all 6 atoms:
Mo (0.0000, 0.0000, 0.0000)
Os (0.5000, 0.0000, 0.3333)
Os (0.5000, 0.0000, 0.6667)
Os (0.5000, 0.5000, 0.1671)
Os (0.5000, 0.5000, 0.8329)
Ru (0.0000, 0.5000, 0.5000)



Record 7
## MoOsRu2 (PBE)

Data for a geometry-optimized MoOsRu2 structure.

Values from the calculation:
The total energy comes out at -40.5 eV per cell. The value obtained for the volume is 57.9 Å³ per cell. For the energy above the most stable polymorph in this dataset, the calculation gives 58.7 meV/atom. The total magnetization is 0.00 μB per cell.

Cell: 4.7495 4.7495 4.7495 Å, 132.04 132.04 70.17°
Fractional coordinates of all 4 atoms:
Mo (0.0000, 0.0000, 0.0000)
Os (0.5000, 0.5000, 0.0000)
Ru (0.2500, 0.7500, 0.5000)
Ru (0.7500, 0.2500, 0.5000)



Record 8
## Mo2Os2Ru3 (PBE)

Data for a geometry-optimized Mo2Os2Ru3 structure.

Values from the calculation:
The total energy comes out at -71.5 eV per cell. The value obtained for the volume is 102.4 Å³ per cell. The total magnetization is 0.00 μB per cell.

Cell: 4.7448 4.7472 4.7664 Å, 99.22 99.71 99.49°
Fractional coordinates of all 7 atoms:
Mo (0.1579, 0.0763, 0.2923)
Mo (0.8421, 0.9237, 0.7077)
Os (0.4314, 0.2216, 0.8670)
Os (0.5686, 0.7784, 0.1330)
Ru (0.0000, 0.5000, 0.0000)
Ru (0.2836, 0.6402, 0.5754)
Ru (0.7164, 0.3598, 0.4246)